Entry 1:
PaTeCl | the Alexandria database | PBE | optimized geometry; total magnetic moment = 1.557 μB/f.u.; E_form (uncorrected) = -1.13 eV per atom; symmetry = P2_1/m (11); E_tot = -0.219 Ha/atom
1.0
-3.886 -3.227 0.540
3.205 -3.930 -0.423
2.914 1.601 7.209
Cl Te Pa
2 2 2
Cartesian
1.486 -0.984 5.104
0.746 -4.572 2.222
1.025 -0.996 1.717
1.207 -4.561 5.609
-0.657 -2.603 3.902
2.889 -2.954 3.424

***

Entry 2:
NaInO | the Alexandria database | PBE | optimized geometry; total magnetic moment = 0.000 μB/f.u.; E_form (uncorrected) = -1.07 eV per atom; symmetry = Cm (8); E_tot = -0.150 Ha/atom
1.0
-3.864 3.661 -2.368
-1.996 -2.605 -0.771
-1.247 -0.720 5.658
Na In O
2 2 2
Cartesian
-1.241 0.709 0.815
-2.862 -0.954 3.258
-3.842 2.212 2.467
-4.216 1.269 -0.748
-4.440 3.264 0.462
-6.061 1.601 2.905

***

- The lowest E_form (uncorrected) belongs to which entry?
  PaTeCl

***

- What is the formula in the second record?
  NaInO

***

- What is the formula in the first record?
  PaTeCl

***

- Number 2 is which compound?
  NaInO